A plane-wave DFT calculation with GGA-PBE was carried out for a geometry-optimized DyTlCuTe3 structure.

## Properties
- raw formation energy (eV/atom) = -0.571
- density (g/cm³) = 7.19
- V (Å³ per cell) = 376
- total magnetization (μB/f.u.) = 0.0

abc: 8.7105 8.7105 8.6916
angles: 96.19 96.19 34.97
Fractional positions:
Dy (0.1411, 0.1411, 0.0300)
Dy (0.8589, 0.8589, 0.9700)
Tl (0.1595, 0.1595, 0.5231)
Tl (0.8405, 0.8405, 0.4769)
Cu (0.4723, 0.4723, 0.1856)
Cu (0.5277, 0.5277, 0.8144)
Te (0.0047, 0.0047, 0.7643)
Te (0.3152, 0.3152, 0.1948)
Te (0.3703, 0.3703, 0.7722)
Te (0.6297, 0.6297, 0.2278)
Te (0.6848, 0.6848, 0.8052)
Te (0.9953, 0.9953, 0.2357)

=====

A plane-wave DFT calculation with GGA-PBE was carried out for a geometry-optimized YTe2PbI structure.

## Properties
- raw formation energy (eV/atom) = -0.506
- density (g/cm³) = 5.52
- excess energy over the best structure of this formula in the dataset (eV/f.u.) = 0.000
- V (Å³ per cell) = 204
- total magnetization (μB/f.u.) = 0.0

abc: 5.9385 5.9385 5.7852
angles: 90.00 90.00 90.00
Fractional positions:
Y (0.0000, 0.0000, 0.0000)
Te (0.0000, 0.5000, 0.0000)
Te (0.5000, 0.0000, 0.0000)
Pb (0.5000, 0.5000, 0.5000)
I (0.0000, 0.0000, 0.5000)

=====

A plane-wave DFT calculation with GGA-PBE was carried out for a geometry-optimized La11In9Cu4 structure.

## Properties
- density (g/cm³) = 6.95
- E_form (eV per atom) = -0.4440
- V (Å³ per cell) = 672
- total magnetization (μB/f.u.) = 0.0

abc: 13.6757 13.6757 3.8939
angles: 90.00 90.00 112.62
Fractional positions:
La (0.0000, 0.0000, 0.0000)
La (0.0657, 0.4138, 0.0000)
La (0.1619, 0.8381, 0.0000)
La (0.3092, 0.3092, 0.0000)
La (0.3727, 0.6273, 0.0000)
La (0.4138, 0.0657, 0.0000)
La (0.5862, 0.9343, 0.0000)
La (0.6273, 0.3727, 0.0000)
La (0.6908, 0.6908, 0.0000)
La (0.8381, 0.1619, 0.0000)
La (0.9343, 0.5862, 0.0000)
In (0.0795, 0.2203, 0.5000)
In (0.1634, 0.6315, 0.5000)
In (0.2203, 0.0795, 0.5000)
In (0.3685, 0.8366, 0.5000)
In (0.5000, 0.5000, 0.5000)
In (0.6315, 0.1634, 0.5000)
In (0.7797, 0.9205, 0.5000)
In (0.8366, 0.3685, 0.5000)
In (0.9205, 0.7797, 0.5000)
Cu (0.2467, 0.4489, 0.5000)
Cu (0.4489, 0.2467, 0.5000)
Cu (0.5511, 0.7533, 0.5000)
Cu (0.7533, 0.5511, 0.5000)

=====

A plane-wave DFT calculation with GGA-PBE was carried out for a geometry-optimized KCr2Cu structure.

## Properties
- density (g/cm³) = 3.95
- excess energy over the best structure of this formula in the dataset (eV/f.u.) = 2.472
- E_form (eV per atom) = 1.2596
- V (Å³ per cell) = 87
- total magnetization (μB/f.u.) = 9.4

abc: 5.3855 5.3855 5.3855
angles: 131.09 131.09 71.67
Fractional positions:
K (0.0000, 0.0000, 0.0000)
Cr (0.2500, 0.7500, 0.5000)
Cr (0.7500, 0.2500, 0.5000)
Cu (0.5000, 0.5000, 0.0000)

=====

A plane-wave DFT calculation with GGA-PBE was carried out for a geometry-optimized La2Tb3Dy7 structure.

## Properties
- density (g/cm³) = 8.00
- excess energy over the best structure of this formula in the dataset (eV/f.u.) = 0.000
- E_form (eV per atom) = 0.0828
- V (Å³ per cell) = 393
- total magnetization (μB/f.u.) = 0.0

abc: 6.3695 3.5327 17.5656
angles: 90.00 96.24 90.00
Fractional positions:
La (0.0575, 0.0000, 0.1725)
La (0.9425, 0.0000, 0.8275)
Tb (0.4541, 0.5000, 0.8421)
Tb (0.5000, 0.0000, 0.5000)
Tb (0.5459, 0.5000, 0.1579)
Dy (0.0000, 0.5000, 0.5000)
Dy (0.2294, 0.0000, 0.6652)
Dy (0.2568, 0.0000, 0.9990)
Dy (0.2751, 0.5000, 0.3380)
Dy (0.7249, 0.5000, 0.6620)
Dy (0.7432, 0.0000, 0.0010)
Dy (0.7706, 0.0000, 0.3348)

=====

A plane-wave DFT calculation with GGA-PBE was carried out for a geometry-optimized Pm5Si4Ag structure.

## Properties
- raw formation energy (eV/atom) = -0.420
- density (g/cm³) = 6.63
- V (Å³ per cell) = 237
- total magnetization (μB/f.u.) = 0.0

abc: 3.4181 3.4181 20.2488
angles: 90.00 90.00 90.00
Fractional positions:
Pm (0.0000, 0.0000, 0.0000)
Pm (0.0000, 0.0000, 0.1994)
Pm (0.0000, 0.0000, 0.3934)
Pm (0.0000, 0.0000, 0.6066)
Pm (0.0000, 0.0000, 0.8006)
Si (0.5000, 0.5000, 0.1001)
Si (0.5000, 0.5000, 0.3004)
Si (0.5000, 0.5000, 0.6996)
Si (0.5000, 0.5000, 0.8999)
Ag (0.5000, 0.5000, 0.5000)

=====

A plane-wave DFT calculation with GGA-PBE was carried out for a geometry-optimized LiTlHg2Bi structure.

## Properties
- density (g/cm³) = 10.11
- excess energy over the best structure of this formula in the dataset (eV/f.u.) = 0.000
- E_form (eV per atom) = -0.0847
- V (Å³ per cell) = 270
- total magnetization (μB/f.u.) = 0.0

abc: 5.6710 7.1211 6.6848
angles: 90.00 90.00 90.00
Fractional positions:
Li (0.0000, 0.0000, 0.0000)
Li (0.5000, 0.0000, 0.0000)
Tl (0.2500, 0.5000, 0.3293)
Tl (0.7500, 0.5000, 0.6707)
Hg (0.2500, 0.2869, 0.8294)
Hg (0.2500, 0.7131, 0.8294)
Hg (0.7500, 0.2869, 0.1706)
Hg (0.7500, 0.7131, 0.1706)
Bi (0.2500, 0.0000, 0.3930)
Bi (0.7500, 0.0000, 0.6070)

=====

A plane-wave DFT calculation with GGA-PBE was carried out for a geometry-optimized HgPt2S3 structure.

## Properties
- raw formation energy (eV/atom) = -0.345
- density (g/cm³) = 9.48
- V (Å³ per cell) = 241
- total magnetization (μB/f.u.) = 0.0

abc: 7.1793 7.1793 5.3896
angles: 90.00 90.00 120.00
Fractional positions:
Hg (0.3333, 0.6667, 0.3751)
Hg (0.6667, 0.3333, 0.6249)
Pt (0.0000, 0.0000, 0.0000)
Pt (0.0000, 0.5000, 0.0000)
Pt (0.5000, 0.0000, 0.0000)
Pt (0.5000, 0.5000, 0.0000)
S (0.1730, 0.3460, 0.7792)
S (0.1730, 0.8270, 0.7792)
S (0.3460, 0.1730, 0.2208)
S (0.6540, 0.8270, 0.7792)
S (0.8270, 0.1730, 0.2208)
S (0.8270, 0.6540, 0.2208)

=====

A plane-wave DFT calculation with GGA-PBE was carried out for a geometry-optimized KYBi2Ir structure.

## Properties
- density (g/cm³) = 7.27
- E_form (eV per atom) = -0.0106
- V (Å³ per cell) = 169
- total magnetization (μB/f.u.) = 0.0

abc: 5.6849 5.6849 5.2154
angles: 90.00 90.00 90.00
Fractional positions:
K (0.0000, 0.0000, 0.0000)
Y (0.5000, 0.5000, 0.0000)
Bi (0.0000, 0.5000, 0.5000)
Bi (0.5000, 0.0000, 0.5000)
Ir (0.5000, 0.5000, 0.5000)

=====

A plane-wave DFT calculation with GGA-PBE was carried out for a geometry-optimized MgRePd3 structure.

## Properties
- density (g/cm³) = 9.44
- excess energy over the best structure of this formula in the dataset (eV/f.u.) = 1.109
- E_form (eV per atom) = 1.1470
- V (Å³ per cell) = 93
- total magnetization (μB/f.u.) = 4.5

abc: 4.5342 4.5342 4.5342
angles: 90.00 90.00 90.00
Fractional positions:
Mg (0.0000, 0.0000, 0.0000)
Re (0.5000, 0.5000, 0.5000)
Pd (0.0000, 0.0000, 0.5000)
Pd (0.0000, 0.5000, 0.0000)
Pd (0.5000, 0.0000, 0.0000)

=====

A plane-wave DFT calculation with GGA-PBE was carried out for a geometry-optimized MgGa2Sb structure.

## Properties
- raw formation energy (eV/atom) = -0.074
- density (g/cm³) = 5.35
- excess energy over the best structure of this formula in the dataset (eV/f.u.) = 0.000
- V (Å³ per cell) = 89
- total magnetization (μB/f.u.) = 0.0

abc: 4.2613 4.2613 4.8815
angles: 90.00 90.00 90.00
Fractional positions:
Mg (0.0000, 0.0000, 0.0000)
Ga (0.0000, 0.5000, 0.5000)
Ga (0.5000, 0.0000, 0.5000)
Sb (0.5000, 0.5000, 0.0000)

=====

A plane-wave DFT calculation with GGA-PBE was carried out for a geometry-optimized KCaAu2 structure.

## Properties
- density (g/cm³) = 6.14
- E_form (eV per atom) = -0.4276
- V (Å³ per cell) = 128
- total magnetization (μB/f.u.) = 0.0

abc: 8.5444 8.5444 8.5444
angles: 28.80 28.80 28.80
Fractional positions:
K (0.0000, 0.0000, 0.0000)
Ca (0.1694, 0.1694, 0.1694)
Au (0.5725, 0.5725, 0.5725)
Au (0.7648, 0.7648, 0.7648)

=====

Q: Among the records above, which one has the highest density?
A: LiTlHg2Bi